1.
The following is a PBE calculation of crystalline CuHgMoI2 at its relaxed geometry, from the Alexandria database.

a = 5.4004 Å, b = 5.4004 Å, c = 5.3083 Å
α = 90.00°, β = 90.00°, γ = 90.00°
Last column: nearest neighbours and their distance in Å.
Space group P4/mmm (No. 123)
Unique sites:
Cu: 0.0000 0.0000 0.0000 x1  2 Mo 2.65, 4 I 2.70
Hg: 0.5000 0.5000 0.5000 x1  8 I 3.79, 4 Mo 3.82
Mo: 0.0000 0.0000 0.5000 x1  2 Cu 2.65
I: 0.0000 0.5000 0.0000 x2  2 Cu 2.70

Properties
Magnetic moment in μB per atom: 0.967


2.
The following is a PBE calculation of crystalline CuHgI2N at its relaxed geometry, from the Alexandria database.

a = 6.1087 Å, b = 6.1087 Å, c = 3.9756 Å
α = 90.00°, β = 90.00°, γ = 90.00°
Last column: nearest neighbours and their distance in Å.
Space group P4/mmm (No. 123)
Unique sites:
Cu: 0.0000 0.0000 0.0000 x1  8 I 3.64, 2 Cu 3.98
Hg: 0.5000 0.5000 0.5000 x1  2 N 1.99
I: 0.0000 0.5000 0.5000 x2  2 Hg 3.05
N: 0.5000 0.5000 0.0000 x1  2 Hg 1.99

Properties
Distance to the lowest polymorph of the same formula in meV per atom: 593
Magnetic moment in μB per atom: 0.000


3.
The following is a PBE calculation of crystalline CuHgI2N at its relaxed geometry, from the Alexandria database.

a = 5.7626 Å, b = 5.7626 Å, c = 3.7412 Å
α = 90.00°, β = 90.00°, γ = 90.00°
Last column: nearest neighbours and their distance in Å.
Space group P4/mmm (No. 123)
Unique sites:
Cu: 0.0000 0.0000 0.0000 x1  2 N 1.87
Hg: 0.5000 0.5000 0.5000 x1  8 I 3.44, 2 Hg 3.74
I: 0.0000 0.5000 0.0000 x2  2 Cu 2.88
N: 0.0000 0.0000 0.5000 x1  2 Cu 1.87

Properties
Distance to the lowest polymorph of the same formula in meV per atom: 0
Magnetic moment in μB per atom: 0.418


4.
The following is a PBE calculation of crystalline Na2CuHgI6 at its relaxed geometry, from the Alexandria database.

a = 7.5279 Å, b = 7.8003 Å, c = 8.0818 Å
α = 72.01°, β = 72.10°, γ = 67.37°
Last column: nearest neighbours and their distance in Å.
Space group P1 (No. 1)
Unique sites:
Na: 0.0000 0.0000 0.0000 x1  5 I 3.19-3.29
Na: 0.3622 0.5394 0.6056 x1  5 I 3.12-3.27
Cu: 0.7243 0.5770 0.9013 x1  4 I 2.64-2.73
Hg: 0.3221 0.0693 0.3142 x1  2 I 2.71-2.73
I: 0.0348 0.9030 0.4174 x1  1 Hg 2.73
I: 0.0864 0.3947 0.9543 x1  1 Cu 2.64
I: 0.4330 0.8390 0.7587 x1  1 Cu 2.64
I: 0.4776 0.3430 0.2760 x1  1 Hg 2.71
I: 0.6765 0.7731 0.1480 x1  1 Cu 2.73, 1 Hg 3.04
I: 0.7665 0.3293 0.7208 x1  1 Cu 2.64

Properties
Magnetic moment in μB per atom: 0.102


5.
The following is a PBE calculation of crystalline NpCuHgI6 at its relaxed geometry, from the Alexandria database.

a = 7.0042 Å, b = 8.2569 Å, c = 8.6454 Å
α = 87.84°, β = 66.16°, γ = 84.56°
Last column: nearest neighbours and their distance in Å.
Space group P1 (No. 1)
Unique sites:
Np: 0.0000 0.0000 0.0000 x1  6 I 2.90-3.02
Cu: 0.5645 0.9996 0.8706 x1  4 I 2.62-2.64
Hg: 0.2948 0.5001 0.4119 x1  6 I 3.83-3.96
I: 0.0318 0.1910 0.2622 x1  1 Np 2.90
I: 0.3350 0.7538 0.0037 x1  1 Cu 2.64
I: 0.3452 0.1643 0.7233 x1  1 Cu 2.62
I: 0.6613 0.2460 0.0035 x1  1 Cu 2.64
I: 0.7063 0.8095 0.2622 x1  1 Np 2.90
I: 0.9313 0.8352 0.7232 x1  1 Cu 2.62

Properties
Magnetic moment in μB per atom: 0.218


6.
The following is a PBE calculation of crystalline CuHgIO2 at its relaxed geometry, from the Alexandria database.

a = 3.9864 Å, b = 3.9864 Å, c = 6.2750 Å
α = 90.00°, β = 90.00°, γ = 90.00°
Last column: nearest neighbours and their distance in Å.
Space group P4/mmm (No. 123)
Unique sites:
Cu: 0.0000 0.0000 0.0000 x1  4 O 1.99
Hg: 0.5000 0.5000 0.5000 x1  4 I 2.82
I: 0.0000 0.0000 0.5000 x1  4 Hg 2.82, 2 Cu 3.14
O: 0.0000 0.5000 0.0000 x2  2 Cu 1.99

Properties
Distance to the lowest polymorph of the same formula in meV per atom: 0
Magnetic moment in μB per atom: 0.382


7.
The following is a PBE calculation of crystalline CuHgIO2 at its relaxed geometry, from the Alexandria database.

a = 4.0805 Å, b = 4.0805 Å, c = 7.2875 Å
α = 90.00°, β = 90.00°, γ = 90.00°
Last column: nearest neighbours and their distance in Å.
Space group P4/mmm (No. 123)
Unique sites:
Cu: 0.0000 0.0000 0.0000 x1  4 I 2.89
Hg: 0.5000 0.5000 0.5000 x1  4 O 2.04
I: 0.5000 0.5000 0.0000 x1  4 Cu 2.89
O: 0.0000 0.5000 0.5000 x2  2 Hg 2.04

Properties
Distance to the lowest polymorph of the same formula in meV per atom: 242
Magnetic moment in μB per atom: 0.228


8.
The following is a PBE calculation of crystalline CuHgI2O8 at its relaxed geometry, from the Alexandria database.

a = 7.2389 Å, b = 7.2389 Å, c = 6.9268 Å
α = 90.00°, β = 90.00°, γ = 90.00°
Last column: nearest neighbours and their distance in Å.
Space group I-4m2 (No. 119)
Unique sites:
Cu: 0.0000 0.0000 0.0000 x2  4 O 2.23
Hg: 0.0000 0.5000 0.7500 x2  4 O 2.29
I: 0.0000 0.0000 0.5000 x2  4 O 1.87
I: 0.0000 0.5000 0.2500 x2  4 O 1.86
O: 0.0000 0.1901 0.6818 x8  1 I 1.87
O: 0.0000 0.2969 0.0854 x8  1 I 1.86

Properties
Magnetic moment in μB per atom: 0.000


9.
The following is a PBE calculation of crystalline CuHg2IO6 at its relaxed geometry, from the Alexandria database.

a = 10.5827 Å, b = 5.5133 Å, c = 5.2853 Å
α = 90.00°, β = 119.72°, γ = 90.00°
Last column: nearest neighbours and their distance in Å.
Space group C2/m (No. 12)
Unique sites:
Cu: 0.0000 0.0000 0.0000 x2  4 O 2.00
Hg: 0.2411 0.0000 0.7142 x4  3 O 2.19-2.40
I: 0.0000 0.5000 0.5000 x2  6 O 1.96-2.02
O: 0.0682 0.2467 0.3183 x8  1 Cu 2.00, 1 I 2.02
O: 0.2001 0.5000 0.8257 x4  1 I 1.96, 1 Hg 2.19

Properties
Magnetic moment in μB per atom: 0.002


10.
The following is a PBE calculation of crystalline PaCu2HgI8 at its relaxed geometry, from the Alexandria database.

a = 12.2495 Å, b = 8.4935 Å, c = 10.2157 Å
α = 90.00°, β = 98.66°, γ = 90.00°
Last column: nearest neighbours and their distance in Å.
Space group C2/m (No. 12)
Unique sites:
Pa: 0.0000 0.0000 0.0000 x2  6 I 3.02-3.06
Cu: 0.1696 0.5000 0.2152 x4  4 I 2.57-2.70
Hg: 0.0000 0.0000 0.5000 x2  2 I 2.72
I: 0.0297 0.2541 0.2152 x8  1 Cu 2.70
I: 0.2244 0.0000 0.5476 x4  1 Cu 2.57, 1 Hg 2.72
I: 0.2467 0.0000 0.0010 x4  1 Cu 2.57

Properties
Magnetic moment in μB per atom: 0.086


11.
The following is a PBE calculation of crystalline Rb2CuHgI5 at its relaxed geometry, from the Alexandria database.

a = 4.7276 Å, b = 21.2112 Å, c = 15.5702 Å
α = 90.00°, β = 90.00°, γ = 90.00°
Last column: nearest neighbours and their distance in Å.
Space group Cmc2_1 (No. 36)
Unique sites:
Rb: 0.0000 0.1253 0.0000 x4  7 I 3.72-3.88, 2 Cu 4.01
Rb: 0.0000 0.1279 0.6168 x4  7 I 3.67-3.85
Cu: 0.0000 0.4225 0.6972 x4  4 I 2.57-2.74
Hg: 0.0000 0.2076 0.3220 x4  4 I 2.86-3.11
I: 0.0000 0.0740 0.2858 x4  2 Cu 2.74, 1 Hg 2.89
I: 0.0000 0.2993 0.9514 x4  2 Hg 3.11
I: 0.0000 0.3006 0.6594 x4  1 Cu 2.65
I: 0.0000 0.3418 0.3075 x4  1 Hg 2.86
I: 0.0000 0.5002 0.0704 x4  1 Cu 2.57

Properties
Magnetic moment in μB per atom: 0.000


12.
The following is a PBE calculation of crystalline ScCuHgI2 at its relaxed geometry, from the Alexandria database.

a = 5.7229 Å, b = 5.7229 Å, c = 5.3592 Å
α = 90.00°, β = 90.00°, γ = 90.00°
Last column: nearest neighbours and their distance in Å.
Space group P4/mmm (No. 123)
Unique sites:
Sc: 0.0000 0.0000 0.0000 x1  2 Cu 2.68, 4 I 2.86
Cu: 0.0000 0.0000 0.5000 x1  2 Sc 2.68
Hg: 0.5000 0.5000 0.5000 x1  8 I 3.92, 4 Cu 4.05
I: 0.0000 0.5000 0.0000 x2  2 Sc 2.86

Properties
Magnetic moment in μB per atom: 0.000


Computed values of E_form (uncorrected) (unit: meV/atom) for the preceding records, in sequence: 873; 1276; 684; -552; -457; 266; 508; -11; -268; -484; -769; -160.